Ca4ErTl2 after structural relaxation. Source: Alexandria via LeMat-Bulk, functional GGA-PBE. Values from VASP.

Quantum ESPRESSO input file:
```
&SYSTEM
  ibrav = 0, nat = 7, ntyp = 3
/
ATOMIC_SPECIES
Ca 40.08 Ca.upf
Er 167.26 Er.upf
Tl 204.38 Tl.upf
ATOMIC_POSITIONS crystal
Ca 0.103 0.103 0.103
Ca 0.294 0.294 0.294
Ca 0.706 0.706 0.706
Ca 0.897 0.897 0.897
Er 0.500 0.500 0.500
Tl 0.402 0.402 0.402
Tl 0.598 0.598 0.598
CELL_PARAMETERS angstrom
2.737 1.580 10.105
-2.737 1.580 10.105
0.000 -3.161 10.105
```

The space group is No. 166. The value obtained for the energy relative to the elements is -0.042 eV/atom. Its crystal system is trigonal.